[1]
PBE Sc2Tl2Ag, optimized geometry; DFT total energy = -4.18 eV/atom; energy above the lowest structure with this stoichiometry = 0.000 eV per atom; formation enthalpy at 0 K = -129 meV per atom; total magnetic moment = 0.00 μB/cell
1.0
7.4392 0.0000 0.0000
0.0000 7.4392 0.0000
0.0000 0.0000 4.2395
Sc Tl Ag
4 4 2
Direct
0.1622 0.3378 0.0000
0.3378 0.8378 0.0000
0.6622 0.1622 0.0000
0.8378 0.6622 0.0000
0.1427 0.6427 0.5000
0.3573 0.1427 0.5000
0.6427 0.8573 0.5000
0.8573 0.3573 0.5000
0.0000 0.0000 0.5000
0.5000 0.5000 0.5000

---

[2]
PBE Ag3SF2, optimized geometry; DFT total energy = -3.43 eV/atom; energy above the lowest structure with this stoichiometry = 0.000 eV per atom; total magnetic moment = 0.00 μB/cell
1.0
5.9066 -2.5326 0.0000
5.9066 2.5326 0.0000
-2.0980 0.0000 6.7095
Ag S F
6 2 4
Direct
0.0018 0.9982 0.7500
0.3389 0.3393 0.4193
0.3393 0.3389 0.9193
0.6607 0.6611 0.0807
0.6611 0.6607 0.5807
0.9982 0.0018 0.2500
0.4983 0.5017 0.2500
0.5017 0.4983 0.7500
0.1991 0.1996 0.0992
0.1996 0.1991 0.5992
0.8004 0.8009 0.4008
0.8009 0.8004 0.9008

---

[3]
PBE Tm3Si6Ni2Pt, optimized geometry; DFT total energy = -5.71 eV/atom; total magnetic moment = 0.00 μB/cell
1.0
5.2198 0.0000 0.0000
-2.6099 4.5205 0.0000
0.0000 0.0000 9.0281
Tm Si Ni Pt
3 6 2 1
Direct
0.0000 0.0000 0.0000
0.3333 0.6667 0.5770
0.6667 0.3333 0.4230
0.1703 0.3406 0.2730
0.1703 0.8297 0.2730
0.3406 0.1703 0.7270
0.6594 0.8297 0.2730
0.8297 0.1703 0.7270
0.8297 0.6594 0.7270
0.3333 0.6667 0.0734
0.6667 0.3333 0.9266
0.0000 0.0000 0.5000

---

[4]
PBE Sm3Dy12Cd5, optimized geometry; DFT total energy = -3.15 eV/atom; formation enthalpy at 0 K = 553 meV per atom; total magnetic moment = 0.00 μB/cell
1.0
-9.1039 9.1039 9.1039
9.1039 -9.1039 9.1039
9.1039 9.1039 -9.1039
Sm Dy Cd
12 48 20
Direct
0.1250 0.2500 0.3750
0.1250 0.3750 0.7500
0.2500 0.3750 0.1250
0.2500 0.8750 0.6250
0.3750 0.1250 0.2500
0.3750 0.7500 0.1250
0.6250 0.2500 0.8750
0.6250 0.8750 0.7500
0.7500 0.1250 0.3750
0.7500 0.6250 0.8750
0.8750 0.6250 0.2500
0.8750 0.7500 0.6250
0.0567 0.2203 0.1309
0.0567 0.3363 0.9258
0.0742 0.6309 0.4105
0.0742 0.9433 0.6637
0.0895 0.7203 0.6637
0.0895 0.8691 0.4258
0.1309 0.0567 0.2203
0.1309 0.5742 0.9105
0.1637 0.2203 0.5895
0.1637 0.4433 0.5742
0.2203 0.1309 0.0567
0.2203 0.5895 0.1637
0.2797 0.3363 0.9105
0.2797 0.4433 0.3691
0.3363 0.9105 0.2797
0.3363 0.9258 0.0567
0.3691 0.2797 0.4433
0.3691 0.5895 0.9258
0.4105 0.0742 0.6309
0.4105 0.8363 0.7797
0.4258 0.0895 0.8691
0.4258 0.8363 0.5567
0.4433 0.3691 0.2797
0.4433 0.5742 0.1637
0.5567 0.4258 0.8363
0.5567 0.6309 0.7203
0.5742 0.1637 0.4433
0.5742 0.9105 0.1309
0.5895 0.1637 0.2203
0.5895 0.9258 0.3691
0.6309 0.4105 0.0742
0.6309 0.7203 0.5567
0.6637 0.0742 0.9433
0.6637 0.0895 0.7203
0.7203 0.5567 0.6309
0.7203 0.6637 0.0895
0.7797 0.4105 0.8363
0.7797 0.8691 0.9433
0.8363 0.5567 0.4258
0.8363 0.7797 0.4105
0.8691 0.4258 0.0895
0.8691 0.9433 0.7797
0.9105 0.1309 0.5742
0.9105 0.2797 0.3363
0.9258 0.0567 0.3363
0.9258 0.3691 0.5895
0.9433 0.6637 0.0742
0.9433 0.7797 0.8691
0.0000 0.0000 0.0000
0.0000 0.0000 0.5000
0.0000 0.5000 0.0000
0.0000 0.5000 0.5000
0.1250 0.7500 0.8750
0.1250 0.8750 0.2500
0.2500 0.1250 0.8750
0.2500 0.6250 0.3750
0.3750 0.2500 0.6250
0.3750 0.6250 0.7500
0.5000 0.0000 0.0000
0.5000 0.0000 0.5000
0.5000 0.5000 0.0000
0.5000 0.5000 0.5000
0.6250 0.3750 0.2500
0.6250 0.7500 0.3750
0.7500 0.3750 0.6250
0.7500 0.8750 0.1250
0.8750 0.1250 0.7500
0.8750 0.2500 0.1250

---

- The lowest DFT total energy belongs to which entry?
  Tm3Si6Ni2Pt

---

- Look up the total magnetic moment of the third one.
  0.00 μB/cell